Entry 1:
Entry from Alexandria via LeMat-Bulk: a geometry-optimized La2TeIr structure (PBE).

```
La2TeIr
1.0
2.1412 1.2362 7.7264
-2.1412 1.2362 7.7264
0.0000 -2.4725 7.7264
La Te Ir
2 1 1
Direct
0.0000 0.0000 0.0000 La
0.1953 0.1953 0.1953 La
0.7643 0.7643 0.7643 Te
0.5975 0.5975 0.5975 Ir
```

=====

Entry 2:
Entry from Alexandria via LeMat-Bulk: a geometry-optimized LaTe2Ir structure (PBE).

Output
Excess energy over the best structure of this formula in the dataset: 305 meV per atom

```
LaTe2Ir
1.0
4.9519 0.0000 0.0000
0.0000 4.9519 0.0000
0.0000 0.0000 3.9350
La Te Ir
1 2 1
Direct
0.0000 0.0000 0.0000 La
0.0000 0.5000 0.5000 Te
0.5000 0.0000 0.5000 Te
0.5000 0.5000 0.0000 Ir
```

=====

Entry 3:
Entry from Alexandria via LeMat-Bulk: a geometry-optimized LaTe3Ir structure (PBE).

```
LaTe3Ir
1.0
5.2885 0.0000 0.0000
0.0000 5.2885 0.0000
0.0000 0.0000 5.2885
La Te Ir
1 3 1
Direct
0.0000 0.0000 0.0000 La
0.0000 0.5000 0.5000 Te
0.5000 0.0000 0.5000 Te
0.5000 0.5000 0.0000 Te
0.5000 0.5000 0.5000 Ir
```

=====

no.,uncorrected formation energy (eV/atom)
1,-1.121
2,-0.488
3,-0.364